No. 1
Compound: CsRbFe2Br6
Source: the Alexandria database
Functional: PBE
Structure: optimized geometry

Properties
V ... 821.1 Å³/cell
Formation energy without anion corrections ... -92.5 kJ per mole of atoms

a = 10.454 Å, b = 10.454 Å, c = 7.671 Å
α = 98.21°, β = 98.21°, γ = 90.01°
Sites, in units of the cell vectors:
Br  0.528  0.712  0.185
Cs  0.177  0.823  0.250
Br  0.179  0.123  0.021
Fe  0.703  0.868  0.240
Br  0.288  0.472  0.315
Cs  0.823  0.177  0.750
Fe  0.132  0.297  0.260
Rb  0.603  0.397  0.250
Br  0.123  0.179  0.521
Br  0.877  0.821  0.479
Br  0.627  0.081  0.322
Br  0.919  0.373  0.178
Rb  0.397  0.603  0.750
Br  0.821  0.877  0.979
Fe  0.868  0.703  0.740
Br  0.472  0.288  0.815
Fe  0.297  0.132  0.760
Br  0.373  0.919  0.678
Br  0.081  0.627  0.822
Br  0.712  0.528  0.685

=====

No. 2
Compound: KBr5
Source: the Alexandria database
Functional: PBE
Structure: optimized geometry

Properties
V ... 209.6 Å³/cell
Energy above the most stable polymorph in this dataset ... 0.2361 eV/atom
Formation energy without anion corrections ... -12.8 kJ per mole of atoms

a = 7.235 Å, b = 7.235 Å, c = 4.623 Å
α = 90.00°, β = 90.00°, γ = 120.00°
Sites, in units of the cell vectors:
Br  0.333  0.667  0.000
Br  0.500  0.500  0.500
Br  0.667  0.333  0.000
Br  0.000  0.500  0.500
K  0.000  0.000  0.000
Br  0.500  0.000  0.500

=====

No. 3
Compound: Pm2InCu2Pd5
Source: the Alexandria database
Functional: PBE
Structure: optimized geometry

Properties
V ... 363.6 Å³/cell
Energy relative to the elements ... -62.0 kJ/mol of atoms

a = 3.920 Å, b = 9.631 Å, c = 9.631 Å
α = 90.00°, β = 90.00°, γ = 90.00°
Sites, in units of the cell vectors:
In  0.000  0.500  0.500
Pd  0.500  0.432  0.292
In  0.000  0.000  0.000
Cu  0.000  0.878  0.378
Pd  0.500  0.932  0.208
Pd  0.500  0.292  0.568
Pd  0.500  0.792  0.932
Pd  0.500  0.208  0.068
Pd  0.500  0.708  0.432
Pm  0.000  0.175  0.325
Pd  0.500  0.068  0.792
Cu  0.000  0.622  0.878
Pm  0.000  0.675  0.175
Pd  0.500  0.500  0.000
Pd  0.500  0.000  0.500
Pd  0.500  0.568  0.708
Pm  0.000  0.325  0.825
Pm  0.000  0.825  0.675
Cu  0.000  0.378  0.122
Cu  0.000  0.122  0.622

=====

No. 4
Compound: Np2CrS4
Source: the Alexandria database
Functional: PBE
Structure: optimized geometry

Properties
V ... 288.3 Å³/cell
Formation energy without anion corrections ... -108.3 kJ per mole of atoms

a = 3.888 Å, b = 6.823 Å, c = 10.867 Å
α = 90.00°, β = 90.00°, γ = 90.00°
Sites, in units of the cell vectors:
Cr  0.000  0.000  0.500
S  0.500  0.264  0.946
S  0.000  0.385  0.209
Cr  0.000  0.500  0.000
Np  0.500  0.104  0.175
S  0.000  0.885  0.291
S  0.500  0.736  0.054
S  0.000  0.615  0.791
S  0.500  0.764  0.554
Np  0.500  0.604  0.325
Np  0.500  0.896  0.825
S  0.000  0.115  0.709
S  0.500  0.236  0.446
Np  0.500  0.396  0.675

=====

No. 5
Compound: LaErPdS3
Source: the Alexandria database
Functional: PBE
Structure: optimized geometry

Properties
V ... 262.8 Å³/cell
Formation energy without anion corrections ... -170.2 kJ per mole of atoms

a = 3.912 Å, b = 7.931 Å, c = 8.715 Å
α = 103.63°, β = 90.00°, γ = 90.00°
Sites, in units of the cell vectors:
Er  0.250  0.677  0.175
S  0.250  0.574  0.848
Pd  0.250  0.106  0.597
S  0.750  0.261  0.508
S  0.750  0.906  0.126
S  0.250  0.094  0.874
Er  0.750  0.323  0.825
S  0.750  0.426  0.152
S  0.250  0.739  0.492
Pd  0.750  0.894  0.403
La  0.250  0.189  0.254
La  0.750  0.811  0.746

=====

No. 6
Compound: Ca2TlBr
Source: the Alexandria database
Functional: PBE
Structure: optimized geometry

Properties
V ... 128.4 Å³/cell
Energy above the most stable polymorph in this dataset ... 0.1160 eV/atom
Formation energy without anion corrections ... -77.7 kJ per mole of atoms

a = 8.876 Å, b = 8.876 Å, c = 8.876 Å
α = 155.06°, β = 154.16°, γ = 36.22°
Sites, in units of the cell vectors:
Ca  0.045  0.045  0.000
Ca  0.803  0.303  0.500
Br  0.206  0.706  0.500
Tl  0.446  0.446  0.000